[1]
Computed, not measured: a relaxed structure of TbPm2Sm6 at the PBE level of DFT.

Computed properties:
Formation energy from the elements ... 135 meV/atom
Energy above the most stable polymorph in this dataset ... 0 meV per atom
DFT total energy ... -41.24 eV/cell
Theoretical density ... 7.32 g/cm3
M_tot ... 0.000 μB/cell
DOS(E_F) ... 13.6 states/eV/cell

Structure (POSCAR):
```
TbPm2Sm6
1.0
-0.976 -0.016 3.515
5.804 -8.088 1.574
9.701 0.435 2.697
Tb Pm Sm
1 2 6
direct
0.000 0.000 0.000 Tb
0.500 0.181 0.181 Pm
0.500 0.819 0.819 Pm
0.000 0.514 0.160 Sm
0.000 0.840 0.486 Sm
0.000 0.486 0.840 Sm
0.500 0.683 0.317 Sm
0.000 0.160 0.514 Sm
0.500 0.317 0.683 Sm
```

[2]
Computed, not measured: a relaxed structure of CoSb3 at the PBE level of DFT.

Computed properties:
Energy above the most stable polymorph in this dataset ... 335 meV per atom
DFT total energy ... -18.89 eV/cell
Theoretical density ... 7.51 g/cm3
M_tot ... 0.000 μB/cell
DOS(E_F) ... 1.8 states/eV/cell

Structure (POSCAR):
```
CoSb3
1.0
3.118 0.000 0.000
0.000 3.191 0.000
0.000 0.000 9.433
Co Sb
1 3
direct
0.000 0.000 0.015 Co
0.500 0.000 0.553 Sb
0.500 0.500 0.869 Sb
0.000 0.500 0.229 Sb
```

[3]
Computed, not measured: a relaxed structure of YTm4Zn5 at the PBE level of DFT.

Computed properties:
Formation energy from the elements ... -353 meV/atom
DFT total energy ... -34.24 eV/cell
Theoretical density ... 8.22 g/cm3
M_tot ... 0.000 μB/cell
DOS(E_F) ... 10.0 states/eV/cell

Structure (POSCAR):
```
YTm4Zn5
1.0
-1.360 2.422 2.180
-1.923 -2.504 1.582
13.175 -2.895 11.436
Y Tm Zn
1 4 5
direct
0.000 0.000 0.000 Y
0.000 0.000 0.202 Tm
0.000 0.000 0.401 Tm
0.000 0.000 0.599 Tm
0.000 0.000 0.798 Tm
0.500 0.500 0.104 Zn
0.500 0.500 0.301 Zn
0.500 0.500 0.500 Zn
0.500 0.500 0.699 Zn
0.500 0.500 0.896 Zn
```

[4]
Computed, not measured: a relaxed structure of CaZn2F8 at the PBE level of DFT.

Computed properties:
DFT total energy ... -43.98 eV/cell
Theoretical density ... 3.45 g/cm3
M_tot ... 2.003 μB/cell
DOS(E_F) ... 0.9 states/eV/cell

Structure (POSCAR):
```
CaZn2F8
1.0
5.368 0.000 0.000
0.000 5.368 0.000
-2.684 -2.684 5.386
Ca Zn F
1 2 8
direct
0.500 0.500 0.000 Ca
0.750 0.250 0.500 Zn
0.250 0.750 0.500 Zn
0.804 0.321 0.263 F
0.058 0.541 0.737 F
0.679 0.196 0.737 F
0.196 0.058 0.737 F
0.459 0.942 0.263 F
0.942 0.804 0.263 F
0.321 0.459 0.263 F
0.541 0.679 0.737 F
```

[5]
Computed, not measured: a relaxed structure of TbPmCuHg at the PBE level of DFT.

Computed properties:
Formation energy from the elements ... -306 meV/atom
Energy above the most stable polymorph in this dataset ... 24 meV per atom
DFT total energy ... -15.00 eV/cell
Theoretical density ... 9.56 g/cm3
M_tot ... 0.000 μB/cell
DOS(E_F) ... 2.4 states/eV/cell

Structure (POSCAR):
```
TbPmCuHg
1.0
5.187 0.000 0.000
2.594 4.492 0.000
2.594 1.497 4.236
Tb Hg Cu Pm
1 1 1 1
direct
0.000 0.000 0.000 Tb
0.750 0.750 0.750 Hg
0.250 0.250 0.250 Cu
0.500 0.500 0.500 Pm
```

[6]
Computed, not measured: a relaxed structure of Ir7Ru2Rh2 at the PBE level of DFT.

Computed properties:
Formation energy from the elements ... 235 meV/atom
Energy above the most stable polymorph in this dataset ... 0 meV per atom
DFT total energy ... -92.69 eV/cell
Theoretical density ... 17.83 g/cm3
M_tot ... 0.000 μB/cell
DOS(E_F) ... 13.3 states/eV/cell

Structure (POSCAR):
```
Ir7Ru2Rh2
1.0
5.031 0.468 -0.355
-0.637 5.013 -0.355
-0.283 -0.353 6.445
Ir Ru Rh
7 2 2
direct
0.917 0.534 0.693 Ir
0.466 0.083 0.307 Ir
0.083 0.466 0.307 Ir
0.534 0.917 0.693 Ir
0.000 0.000 0.500 Ir
0.833 0.833 0.069 Ir
0.167 0.167 0.931 Ir
0.312 0.688 0.000 Ru
0.688 0.312 0.000 Ru
0.403 0.403 0.655 Rh
0.597 0.597 0.345 Rh
```

[7]
Computed, not measured: a relaxed structure of Sn2HgRh2 at the PBE level of DFT.

Computed properties:
Formation energy from the elements ... -46 meV/atom
Energy above the most stable polymorph in this dataset ... 248 meV per atom
DFT total energy ... -23.24 eV/cell
Theoretical density ... 10.24 g/cm3
M_tot ... 0.000 μB/cell
DOS(E_F) ... 4.2 states/eV/cell

Structure (POSCAR):
```
Sn2HgRh2
1.0
-1.387 1.351 -3.720
-3.957 -0.515 1.288
-2.732 5.993 0.831
Rh Hg Sn
2 1 2
direct
0.389 0.389 0.221 Rh
0.611 0.611 0.779 Rh
0.000 0.000 0.000 Hg
0.750 0.250 0.500 Sn
0.250 0.750 0.500 Sn
```

[8]
Computed, not measured: a relaxed structure of Ba8PtAu4 at the PBE level of DFT.

Computed properties:
Formation energy from the elements ... -592 meV/atom
DFT total energy ... -42.22 eV/cell
Theoretical density ... 5.85 g/cm3
M_tot ... 0.000 μB/cell
DOS(E_F) ... 8.8 states/eV/cell

Structure (POSCAR):
```
Ba8PtAu4
1.0
-4.362 -5.319 6.362
-5.580 -6.951 -2.888
2.741 -8.879 1.206
Ba Pt Au
8 1 4
direct
0.258 0.735 0.258 Ba
0.742 0.742 0.265 Ba
0.742 0.265 0.742 Ba
0.265 0.742 0.742 Ba
0.745 0.745 0.745 Ba
0.255 0.255 0.255 Ba
0.735 0.258 0.258 Ba
0.258 0.258 0.735 Ba
0.500 0.500 0.500 Pt
0.500 0.000 0.500 Au
0.000 0.500 0.500 Au
0.500 0.500 0.000 Au
0.000 0.000 0.000 Au
```